Below is crystalline BeFeIr2 at its relaxed geometry, with properties calculated at the PBEsol level.

```
4
Lattice="-2.499 3.260 0.446 -4.099 -0.509 -0.108 -2.228 0.438 3.452" Properties=species:S:1:pos:R:3 pbc="T T T"
Be -4.413 1.595 1.895
Fe -2.206 0.797 0.947
Ir -6.619 2.392 2.842
Ir 0.000 0.000 0.000
```

Calculated values
- mass density (g/cm³) = 15.0
- ΔE_f (eV/atom) = 0.16
- E_tot (eV/cell) = -31.96
- symmetry = F-43m, No. 216
- size of the total moment (μB/cell) = 2.590